The following is a DFT calculation (PBE) of crystalline PmMnIrRh at its relaxed geometry.

Output
Formation enthalpy at 0 K = -1.0 eV/f.u.
Total magnetization = 4.6 μB/f.u.
DFT total energy = -31.1 eV/f.u.
DOS(E_F) = 0.5018 states/eV per atom

Cell lengths 4.671, 4.671, 4.671 Å; angles 60.00, 60.00, 60.00 degrees
Last column: magnetic moment on the atom in μB.
Atoms (fractional coordinates):
Ir (0.250, 0.250, 0.250)  0.30
Rh (0.750, 0.750, 0.750)  0.34
Mn (0.000, 0.000, 0.000)  3.88
Pm (0.500, 0.500, 0.500)  -0.04

The following is a DFT calculation (PBE) of crystalline TbHo3S6 at its relaxed geometry.

Output
Total magnetization = 0.0 μB/f.u.
ΔE_f (raw) = -2.077 eV per atom
DFT total energy = -63.9 eV/f.u.

Cell lengths 3.939, 10.998, 11.266 Å; angles 108.73, 90.00, 90.00 degrees
Atoms (fractional coordinates):
Tb (0.250, 0.955, 0.309)
Ho (0.250, 0.566, 0.168)
S (0.750, 0.744, 0.276)
Ho (0.250, 0.839, 0.916)
Tb (0.750, 0.045, 0.691)
S (0.250, 0.082, 0.902)
S (0.250, 0.256, 0.724)
S (0.750, 0.808, 0.751)
S (0.750, 0.112, 0.463)
S (0.750, 0.398, 0.063)
S (0.750, 0.918, 0.098)
S (0.250, 0.888, 0.537)
S (0.250, 0.523, 0.387)
Ho (0.250, 0.318, 0.497)
Ho (0.750, 0.434, 0.832)
S (0.750, 0.477, 0.613)
Ho (0.750, 0.682, 0.503)
S (0.250, 0.192, 0.249)
S (0.250, 0.602, 0.937)
Ho (0.750, 0.161, 0.084)

The following is a DFT calculation (PBE) of crystalline La3Y4Tm5 at its relaxed geometry.

Output
Formation enthalpy at 0 K = 2.9 eV/f.u.
Total magnetization = 0.0 μB/f.u.
DFT total energy = -60.1 eV/f.u.
DOS(E_F) = 1.6792 states/eV per atom

Cell lengths 5.975, 8.500, 9.648 Å; angles 104.67, 71.96, 69.42 degrees
Atoms (fractional coordinates):
La (0.528, 0.683, 0.262)
Y (0.141, 0.777, 0.941)
Tm (0.786, 0.544, 0.885)
Tm (0.214, 0.456, 0.115)
La (0.472, 0.317, 0.738)
Tm (0.623, 0.948, 0.805)
Y (0.859, 0.223, 0.059)
Tm (0.500, 0.500, 0.500)
Tm (0.377, 0.052, 0.195)
Y (0.173, 0.032, 0.623)
Y (0.827, 0.968, 0.377)
La (0.000, 0.500, 0.500)

The following is a DFT calculation (PBE) of crystalline DyMn2AlC at its relaxed geometry.

Output
Formation enthalpy at 0 K = -1.1 eV/f.u.
Total magnetization = 3.1 μB/f.u.
DFT total energy = -37.0 eV/f.u.
DOS(E_F) = 0.6733 states/eV per atom

Cell lengths 3.817, 5.706, 7.127 Å; angles 90.00, 90.00, 109.54 degrees
Last column: magnetic moment on the atom in μB.
Atoms (fractional coordinates):
Mn (0.835, 0.671, 0.434)  1.62
Dy (0.540, 0.080, 0.250)  -0.06
C (0.000, 0.000, 0.500)  -0.12
Al (0.739, 0.479, 0.750)  -0.04
Mn (0.835, 0.671, 0.066)  1.62
Al (0.261, 0.521, 0.250)  -0.04
Mn (0.165, 0.329, 0.566)  1.62
Dy (0.460, 0.920, 0.750)  -0.06
Mn (0.165, 0.329, 0.934)  1.62
C (0.000, 0.000, 0.000)  -0.12

Q: Look up the DFT total energy of the second one.
A: -63.9 eV/f.u.

Q: Which value of DFT total energy does entry 3 give?
A: -60.1 eV/f.u.

Q: Among the records above, which one has the lowest DFT total energy?
A: TbHo3S6

Q: Number 3 is which compound?
A: La3Y4Tm5